1.
Compound: ZrAsRuBr2
Source: the Alexandria database
Functional: GGA-PBE
Structure: relaxed

The crystal system is tetragonal. The calculation puts the total energy at -4.6662 eV/atom. For the formation energy without anion corrections, the calculation gives 0.498 eV per atom.

The structure belongs to space group P4/mmm (No. 123); the cell edges are 5.0348, 5.0348 and 4.7457 Å and the angles 90.00°, 90.00° and 90.00°. Symmetry generates all atoms from Zr at (0.0000, 0.0000, 0.0000), As at (0.5000, 0.5000, 0.0000), Ru at (0.5000, 0.5000, 0.5000) and Br at (0.0000, 0.5000, 0.5000).

=====

2.
Compound: ZrAsRuBr2
Source: the Alexandria database
Functional: GGA-PBE
Structure: relaxed

The crystal system is tetragonal. The calculation puts the total energy at -4.6375 eV/atom. For the formation energy without anion corrections, the calculation gives 0.526 eV per atom.

The structure belongs to space group P4/mmm (No. 123); the cell edges are 5.2318, 5.2318 and 5.3418 Å and the angles 90.00°, 90.00° and 90.00°. Symmetry generates all atoms from Zr at (0.0000, 0.0000, 0.0000), As at (0.0000, 0.0000, 0.5000), Ru at (0.5000, 0.5000, 0.5000) and Br at (0.0000, 0.5000, 0.0000).

=====

3.
Compound: AsSBr
Source: the Alexandria database
Functional: GGA-PBE
Structure: relaxed

The crystal system is triclinic. The calculation puts the total energy at -3.7565 eV/atom. For the formation energy without anion corrections, the calculation gives -0.273 eV per atom.

The structure belongs to space group P-1 (No. 2); the cell edges are 4.0227, 6.7183 and 7.6163 Å and the angles 72.10°, 75.23° and 84.25°. Symmetry generates all atoms from As at (0.2193, 0.2879, 0.4799), S at (0.2786, 0.6392, 0.3137) and Br at (0.0314, 0.8048, 0.7578).

=====

4.
Compound: As2SBr
Source: the Alexandria database
Functional: GGA-PBE
Structure: relaxed

The crystal system is cubic. The calculation puts the total energy at -3.1332 eV/atom. For the formation energy without anion corrections, the calculation gives 0.642 eV per atom.

The structure belongs to space group Fm-3m (No. 225); the cell edges are 6.8139, 6.8139 and 6.8139 Å and the angles 90.00°, 90.00° and 90.00°. Symmetry generates all atoms from As at (0.2500, 0.2500, 0.2500), S at (0.0000, 0.0000, 0.0000) and Br at (0.0000, 0.0000, 0.5000).

=====

5.
Compound: AsS4Br
Source: the Alexandria database
Functional: GGA-PBE
Structure: relaxed

The crystal system is monoclinic. The calculation puts the total energy at -3.7968 eV/atom. For the formation energy without anion corrections, the calculation gives 0.009 eV per atom.

The structure belongs to space group C2/c (No. 15); the cell edges are 5.2513, 35.1672 and 5.0219 Å and the angles 90.00°, 106.03° and 90.00°. Symmetry generates all atoms from As at (0.0000, 0.1531, 0.2500), S at (0.0927, 0.4747, 0.4504), S at (0.1212, 0.1968, 0.6246) and Br at (0.0000, 0.3594, 0.7500).

=====

6.
Compound: AsSBr2
Source: the Alexandria database
Functional: GGA-PBE
Structure: relaxed

The crystal system is tetragonal. The calculation puts the total energy at -2.8395 eV/atom. For the formation energy without anion corrections, the calculation gives 0.191 eV per atom.

The structure belongs to space group I-42d (No. 122); the cell edges are 10.0409, 10.0409 and 4.7761 Å and the angles 90.00°, 90.00° and 90.00°. Symmetry generates all atoms from As at (0.0000, 0.0000, 0.0000), S at (0.0000, 0.0000, 0.5000) and Br at (0.0952, 0.2500, 0.1250).

=====

Number 1: volume 24.060 Å³ per atom. Number 2: volume 29.244 Å³ per atom. Number 3: volume 31.558 Å³ per atom. Number 4: volume 19.773 Å³ per atom. Number 5: volume 37.139 Å³ per atom. Number 6: volume 30.095 Å³ per atom.